This record from Alexandria via LeMat-Bulk describes an optimized crystal structure of TlAuCl3. The functional is PBE-GGA.

Values from the calculation:
E_form (uncorrected)	-13.2	kcal/mol of atoms
ρ	5.54	Mg/m³
crystal system	monoclinic
calculated volume	30.46	Å³ per atom
magnetization	0.000	μB/atom

extended XYZ file:
```
20
Lattice="9.3069 0.0000 0.0000 0.0000 7.7285 0.0000 -5.3711 0.0000 8.4690" Properties=species:S:1:pos:R:3 pbc="T T T"
Tl 1.0341 1.7006 0.8235
Tl -1.6515 2.1636 5.0580
Tl 5.5873 5.5649 3.4110
Tl 2.9017 6.0279 7.6456
Au 0.7953 5.4088 3.2420
Au -1.8902 6.1840 7.4765
Au 5.8260 1.5445 0.9925
Au 3.1405 2.3197 5.2271
Cl -0.9251 4.3562 2.0471
Cl -3.6107 7.2365 6.2816
Cl -0.7017 5.5699 5.3029
Cl 1.9838 6.0229 1.0684
Cl 1.2817 1.6336 3.9921
Cl -1.4039 2.2307 8.2266
Cl 5.3397 5.4978 0.2425
Cl 2.6541 6.0949 4.4770
Cl 1.9519 1.7056 7.4007
Cl 4.6375 2.1586 3.1662
Cl 7.5465 0.4920 2.1874
Cl 4.8609 3.3723 6.4219
```